Compound: Mg2Ta3TiN6
Source: the Alexandria database
Functional: PBE
Structure: relaxed

Cell and atoms, written as CIF:
```
data_Mg2Ta3TiN6
_symmetry_space_group_name_H-M 'C 1 2/m 1'
_symmetry_Int_Tables_number 12
_cell_length_a 5.307
_cell_length_b 9.188
_cell_length_c 5.408
_cell_angle_alpha 90.00
_cell_angle_beta 109.23
_cell_angle_gamma 90.00
loop_
_symmetry_equiv_pos_as_xyz
'x,y,z'
'-x,-y,-z'
'-x,y,-z'
'x,-y,z'
'x+1/2,y+1/2,z'
'-x+1/2,-y+1/2,-z'
'-x+1/2,y+1/2,-z'
'x+1/2,-y+1/2,z'
loop_
_atom_site_label
_atom_site_fract_x
_atom_site_fract_y
_atom_site_fract_z
Mg1 0.000 0.166 0.000
Ta1 0.000 0.000 0.500
Ta2 0.000 0.325 0.500
Ti1 0.000 0.500 0.000
N1 0.247 0.334 0.243
N2 0.248 0.500 0.741
```

Fermi-level density of states (states/eV/f.u.): 3.38
Formation energy without anion corrections (kJ per mole of atoms): -114.1
DFT total energy (eV/atom): -9.23
Calculated volume (Å³/f.u.): 124.49